VASP calculation (PBE-GGA) on an optimized crystal structure of TlAg2Pt.

Computed properties:
total moment: 0.00 Bohr magnetons per cell
space group: Pm, No. 6
E_form: 0.0824 eV per atom

Unit cell a=3.061 b=4.049 c=6.114 alpha=90.00 beta=91.17 gamma=90.00
Element x y z (fractional)
1 Tl 0.000 0.000 0.000
2 Ag 0.002 0.000 0.488
3 Ag 0.508 0.500 0.715
4 Pt 0.497 0.500 0.244



VASP calculation (PBE-GGA) on an optimized crystal structure of TlAgPt.

Computed properties:
total moment: 0.00 Bohr magnetons per cell
space group: P1, No. 1
E_form: 0.0937 eV per atom

Unit cell a=3.031 b=4.414 c=4.896 alpha=116.74 beta=97.95 gamma=90.10
Element x y z (fractional)
1 Tl 0.000 0.000 0.000
2 Ag 0.377 0.329 0.657
3 Pt 0.770 0.673 0.345



VASP calculation (PBE-GGA) on an optimized crystal structure of TlAgPt3.

Computed properties:
total moment: 0.00 Bohr magnetons per cell
space group: Pm-3m, No. 221
E_form: 1.1619 eV per atom

Unit cell a=4.948 b=4.948 c=4.948 alpha=90.00 beta=90.00 gamma=90.00
Element x y z (fractional)
1 Tl 0.000 0.000 0.000
2 Ag 0.500 0.500 0.500
3 Pt 0.000 0.500 0.500
4 Pt 0.500 0.000 0.500
5 Pt 0.500 0.500 0.000



VASP calculation (PBE-GGA) on an optimized crystal structure of TlAgPt2.

Computed properties:
total moment: 0.00 Bohr magnetons per cell
space group: I-42d, No. 122
E_form: 0.2421 eV per atom

Unit cell a=5.988 b=5.988 c=5.988 alpha=102.60 beta=102.60 gamma=124.30
Element x y z (fractional)
1 Tl 0.000 0.000 0.000
2 Tl 0.750 0.250 0.500
3 Ag 0.250 0.750 0.500
4 Ag 0.500 0.500 0.000
5 Pt 0.125 0.125 0.500
6 Pt 0.375 0.875 0.000
7 Pt 0.625 0.625 0.500
8 Pt 0.875 0.375 0.000



VASP calculation (PBE-GGA) on an optimized crystal structure of TlAg2Pt.

Computed properties:
total moment: 0.00 Bohr magnetons per cell
space group: I-4m2, No. 119
E_form: 0.0562 eV per atom

Unit cell a=5.067 b=5.067 c=5.067 alpha=129.95 beta=129.95 gamma=73.49
Element x y z (fractional)
1 Tl 0.000 0.000 0.000
2 Ag 0.500 0.500 0.000
3 Ag 0.750 0.250 0.500
4 Pt 0.250 0.750 0.500



VASP calculation (PBE-GGA) on an optimized crystal structure of TlAg2Pt2.

Computed properties:
total moment: 0.00 Bohr magnetons per cell
space group: I4/mmm, No. 139
E_form: 0.2144 eV per atom

Unit cell a=7.479 b=7.479 c=7.479 alpha=150.47 beta=150.47 gamma=42.25
Element x y z (fractional)
1 Tl 0.000 0.000 0.000
2 Ag 0.399 0.399 0.000
3 Ag 0.601 0.601 0.000
4 Pt 0.250 0.750 0.500
5 Pt 0.750 0.250 0.500



VASP calculation (PBE-GGA) on an optimized crystal structure of Tl2Ag2Pt.

Computed properties:
total moment: 0.00 Bohr magnetons per cell
space group: P4/mbm, No. 127
E_form: 0.2626 eV per atom

Unit cell a=7.356 b=7.356 c=4.130 alpha=90.00 beta=90.00 gamma=90.00
Element x y z (fractional)
1 Tl 0.163 0.337 0.000
2 Tl 0.337 0.837 0.000
3 Tl 0.663 0.163 0.000
4 Tl 0.837 0.663 0.000
5 Ag 0.139 0.639 0.500
6 Ag 0.361 0.139 0.500
7 Ag 0.639 0.861 0.500
8 Ag 0.861 0.361 0.500
9 Pt 0.000 0.000 0.000
10 Pt 0.500 0.500 0.000



VASP calculation (PBE-GGA) on an optimized crystal structure of TlAgPt2.

Computed properties:
total moment: 0.00 Bohr magnetons per cell
space group: Pmm2, No. 25
E_form: 0.0941 eV per atom

Unit cell a=2.940 b=4.219 c=5.814 alpha=90.00 beta=90.00 gamma=90.00
Element x y z (fractional)
1 Tl 0.000 0.000 0.000
2 Ag 0.500 0.500 0.280
3 Pt 0.000 0.000 0.505
4 Pt 0.500 0.500 0.758



VASP calculation (PBE-GGA) on an optimized crystal structure of TlAg2Pt.

Computed properties:
total moment: 0.00 Bohr magnetons per cell
space group: Pmmm, No. 47
E_form: 0.1018 eV per atom

Unit cell a=3.043 b=4.289 c=5.818 alpha=90.00 beta=90.00 gamma=90.00
Element x y z (fractional)
1 Tl 0.000 0.000 0.000
2 Ag 0.500 0.500 0.265
3 Ag 0.500 0.500 0.735
4 Pt 0.000 0.000 0.500



VASP calculation (PBE-GGA) on an optimized crystal structure of TlAg2Pt2.

Computed properties:
total moment: 0.00 Bohr magnetons per cell
space group: P4/mbm, No. 127
E_form: 0.1716 eV per atom

Unit cell a=8.200 b=8.200 c=2.866 alpha=90.00 beta=90.00 gamma=90.00
Element x y z (fractional)
1 Tl 0.000 0.000 0.000
2 Tl 0.500 0.500 0.000
3 Ag 0.124 0.376 0.000
4 Ag 0.376 0.876 0.000
5 Ag 0.624 0.124 0.000
6 Ag 0.876 0.624 0.000
7 Pt 0.172 0.672 0.500
8 Pt 0.328 0.172 0.500
9 Pt 0.672 0.828 0.500
10 Pt 0.828 0.328 0.500



VASP calculation (PBE-GGA) on an optimized crystal structure of TlAg2Pt.

Computed properties:
total moment: 0.00 Bohr magnetons per cell
space group: R-3m, No. 166
E_form: 0.2236 eV per atom

Unit cell a=9.986 b=9.986 c=9.986 alpha=17.53 beta=17.53 gamma=17.53
Element x y z (fractional)
1 Tl 0.000 0.000 0.000
2 Ag 0.243 0.243 0.243
3 Ag 0.757 0.757 0.757
4 Pt 0.500 0.500 0.500



VASP calculation (PBE-GGA) on an optimized crystal structure of TlAgPt.

Computed properties:
total moment: 0.00 Bohr magnetons per cell
space group: P1, No. 1
E_form: 0.0949 eV per atom

Unit cell a=3.029 b=4.210 c=5.133 alpha=66.63 beta=73.92 gamma=89.98
Element x y z (fractional)
1 Tl 0.000 0.000 0.000
2 Ag 0.673 0.675 0.651
3 Pt 0.326 0.332 0.335



VASP calculation (PBE-GGA) on an optimized crystal structure of TlAg2Pt.

Computed properties:
total moment: 0.00 Bohr magnetons per cell
space group: I-42d, No. 122
E_form: 0.1640 eV per atom

Unit cell a=10.690 b=10.690 c=10.690 alpha=158.65 beta=158.65 gamma=30.38
Element x y z (fractional)
1 Tl 0.000 0.000 0.000
2 Tl 0.750 0.250 0.500
3 Ag 0.135 0.625 0.010
4 Ag 0.375 0.385 0.510
5 Ag 0.615 0.125 0.990
6 Ag 0.875 0.865 0.490
7 Pt 0.250 0.750 0.500
8 Pt 0.500 0.500 0.000



VASP calculation (PBE-GGA) on an optimized crystal structure of TlAg2Pt.

Computed properties:
total moment: 0.00 Bohr magnetons per cell
space group: F-43m, No. 216
E_form: 0.0660 eV per atom

Unit cell a=4.729 b=4.729 c=4.729 alpha=60.00 beta=60.00 gamma=60.00
Element x y z (fractional)
1 Tl 0.000 0.000 0.000
2 Ag 0.250 0.250 0.250
3 Ag 0.500 0.500 0.500
4 Pt 0.750 0.750 0.750



VASP calculation (PBE-GGA) on an optimized crystal structure of TlAg2Pt.

Computed properties:
total moment: 0.00 Bohr magnetons per cell
space group: C2/m, No. 12
E_form: 0.0953 eV per atom

Unit cell a=5.821 b=5.821 c=2.987 alpha=103.83 beta=103.83 gamma=121.09
Element x y z (fractional)
1 Tl 0.000 0.000 0.000
2 Ag 0.000 0.500 0.500
3 Ag 0.500 0.000 0.500
4 Pt 0.500 0.500 0.000



VASP calculation (PBE-GGA) on an optimized crystal structure of TlAg2Pt.

Computed properties:
total moment: 0.00 Bohr magnetons per cell
space group: Fm-3m, No. 225
E_form: 0.1463 eV per atom

Unit cell a=4.738 b=4.738 c=4.738 alpha=60.00 beta=60.00 gamma=60.00
Element x y z (fractional)
1 Tl 0.000 0.000 0.000
2 Ag 0.250 0.250 0.250
3 Ag 0.750 0.750 0.750
4 Pt 0.500 0.500 0.500



VASP calculation (PBE-GGA) on an optimized crystal structure of TlAgPt.

Computed properties:
total moment: 0.00 Bohr magnetons per cell
space group: Amm2, No. 38
E_form: 0.1144 eV per atom

Unit cell a=3.599 b=6.129 c=6.129 alpha=27.98 beta=90.00 gamma=90.00
Element x y z (fractional)
1 Tl 0.000 0.000 0.000
2 Ag 0.000 0.286 0.286
3 Pt 0.500 0.646 0.646



VASP calculation (PBE-GGA) on an optimized crystal structure of TlAgPt2.

Computed properties:
total moment: 0.00 Bohr magnetons per cell
space group: R-3m, No. 166
E_form: 0.1451 eV per atom

Unit cell a=9.924 b=9.924 c=9.924 alpha=17.02 beta=17.02 gamma=17.02
Element x y z (fractional)
1 Tl 0.000 0.000 0.000
2 Ag 0.500 0.500 0.500
3 Pt 0.246 0.246 0.246
4 Pt 0.754 0.754 0.754



VASP calculation (PBE-GGA) on an optimized crystal structure of TlAg2Pt.

Computed properties:
total moment: 0.00 Bohr magnetons per cell
space group: Cmmm, No. 65
E_form: 0.0954 eV per atom

Unit cell a=5.173 b=5.173 c=3.057 alpha=90.00 beta=90.00 gamma=112.55
Element x y z (fractional)
1 Tl 0.000 0.000 0.000
2 Ag 0.000 0.500 0.500
3 Ag 0.500 0.000 0.500
4 Pt 0.500 0.500 0.000



VASP calculation (PBE-GGA) on an optimized crystal structure of TlAgPt2.

Computed properties:
total moment: 0.00 Bohr magnetons per cell
space group: P4mm, No. 99
E_form: 0.1360 eV per atom

Unit cell a=2.961 b=2.961 c=8.451 alpha=90.00 beta=90.00 gamma=90.00
Element x y z (fractional)
1 Tl 0.000 0.000 0.000
2 Ag 0.500 0.500 0.291
3 Pt 0.000 0.000 0.523
4 Pt 0.500 0.500 0.746